[1]
A geometry-optimized YErPb6 structure. Source: the Alexandria database, functional PBE.

Cell lengths 4.8769, 4.8769, 9.7590 Å; angles 90.00, 90.00, 90.00 degrees
Space group P4/mmm (No. 123)
Unique sites:
Y1 0.0000 0.0000 0.0000 [1 per cell]
Er1 0.0000 0.0000 0.5000 [1 per cell]
Pb1 0.0000 0.5000 0.2515 [4 per cell]
Pb2 0.5000 0.5000 0.0000 [1 per cell]
Pb3 0.5000 0.5000 0.5000 [1 per cell]

## Properties
Magnetic moment = 0.000 μB/atom
Energy of formation = -265 meV per atom

=====

[2]
A geometry-optimized TiIn3Fe structure. Source: the Alexandria database, functional PBE.

Cell lengths 5.2783, 5.2783, 5.2783 Å; angles 90.00, 90.00, 90.00 degrees
Space group Pm-3m (No. 221)
Unique sites:
Ti1 0.0000 0.0000 0.0000 [1 per cell]
In1 0.0000 0.0000 0.5000 [3 per cell]
Fe1 0.5000 0.5000 0.5000 [1 per cell]

## Properties
Magnetic moment = 0.631 μB/atom
Energy of formation = 1082 meV per atom
E above lowest polymorph = 460 meV per atom

=====

[3]
A geometry-optimized TiHOs3 structure. Source: the Alexandria database, functional PBE.

Cell lengths 3.9317, 3.9317, 3.9317 Å; angles 90.00, 90.00, 90.00 degrees
Space group Pm-3m (No. 221)
Unique sites:
Ti1 0.0000 0.0000 0.0000 [1 per cell]
H1 0.5000 0.5000 0.5000 [1 per cell]
Os1 0.0000 0.5000 0.5000 [3 per cell]

## Properties
Magnetic moment = 0.000 μB/atom
E above lowest polymorph = 0 meV per atom

=====

[4]
A geometry-optimized AlFe5Ge structure. Source: the Alexandria database, functional PBE.

Cell lengths 4.1065, 4.1065, 5.3864 Å; angles 90.00, 90.00, 90.00 degrees
Space group P4/mmm (No. 123)
Unique sites:
Al1 0.0000 0.0000 0.0000 [1 per cell]
Fe1 0.0000 0.0000 0.5000 [1 per cell]
Fe2 0.0000 0.5000 0.2403 [4 per cell]
Ge1 0.5000 0.5000 0.5000 [1 per cell]

## Properties
Magnetic moment = 1.437 μB/atom
Energy of formation = 103 meV per atom

=====

[5]
A geometry-optimized SrTcPdS2 structure. Source: the Alexandria database, functional PBE.

Cell lengths 5.3911, 5.3911, 5.7582 Å; angles 90.00, 90.00, 90.00 degrees
Space group P4/mmm (No. 123)
Unique sites:
Sr1 0.0000 0.0000 0.0000 [1 per cell]
Tc1 0.0000 0.0000 0.5000 [1 per cell]
Pd1 0.5000 0.5000 0.5000 [1 per cell]
S1 0.0000 0.5000 0.0000 [2 per cell]

## Properties
Magnetic moment = 1.127 μB/atom
Raw formation energy = 1.455 eV/atom

=====

- The highest magnetic moment belongs to which entry?
  AlFe5Ge

=====

- Which formula does entry 1 have?
  YErPb6